{"formula": "Zr2Cr2Ge", "functional": "PBE-GGA", "state": "relaxed", "e_above_lowest_polymorph_mev_per_atom": 805.8, "energy_ev_per_cell": -37.291, "vol_a3_per_cell": 95, "spacegroup": "I4/mmm", "magnetic_moment_mub_per_fu": 0.00, "lattice_angstrom": [[-0.2352, -3.9669, -1.3959], [3.9588, 0.2629, -1.4141], [3.6646, -3.6192, 3.3134]], "species": ["Ge", "Zr", "Zr", "Cr", "Cr"], "frac_coords": [[0.0000, 0.0000, 0.0000], [0.2500, 0.7500, 0.5000], [0.7500, 0.2500, 0.5000], [0.5871, 0.5871, 0.8259], [0.4129, 0.4129, 0.1741]]}